1.
VASP calculation (PBE) on ScBrCl2 after structural relaxation.

Properties
- total energy (eV per atom) = -3.989
- energy relative to the elements, uncorrected (eV per atom) = -1.06
- space group = No. 216
- E above lowest polymorph (eV/atom) = 0.869

Cell and atoms, written as POSCAR:
```
ScBrCl2
1.0
0.000 3.453 3.453
3.453 0.000 3.453
3.453 3.453 0.000
Sc Br Cl
1 1 2
direct
0.000 0.000 0.000
0.250 0.250 0.250
0.500 0.500 0.500
0.750 0.750 0.750
```

---

2.
VASP calculation (PBE) on ScBrCl2 after structural relaxation.

Properties
- total energy (eV per atom) = -4.643
- energy relative to the elements, uncorrected (eV per atom) = -1.72
- space group = No. 122
- E above lowest polymorph (eV/atom) = 0.214

Cell and atoms, written as POSCAR:
```
ScBrCl2
1.0
-4.527 4.527 2.692
4.527 -4.527 2.692
4.527 4.527 -2.692
Sc Br Cl
2 2 4
direct
0.000 0.000 0.000
0.750 0.250 0.500
0.250 0.750 0.500
0.500 0.500 0.000
0.375 0.230 0.355
0.770 0.125 0.145
0.875 0.020 0.645
0.980 0.625 0.855
```

---

3.
VASP calculation (PBE) on ScBrCl2 after structural relaxation.

Properties
- total energy (eV per atom) = -3.528
- energy relative to the elements, uncorrected (eV per atom) = -0.60
- space group = No. 166
- E above lowest polymorph (eV/atom) = 1.330

Cell and atoms, written as POSCAR:
```
ScBrCl2
1.0
1.876 1.083 12.063
-1.876 1.083 12.063
0.000 -2.166 12.063
Sc Br Cl
1 1 2
direct
0.000 0.000 0.000
0.500 0.500 0.500
0.063 0.063 0.063
0.937 0.937 0.937
```

---

4.
VASP calculation (PBE) on ScBr2Cl after structural relaxation.

Properties
- total energy (eV per atom) = -4.683
- energy relative to the elements, uncorrected (eV per atom) = -1.80
- space group = No. 65
- E above lowest polymorph (eV/atom) = 0.000

Cell and atoms, written as POSCAR:
```
ScBr2Cl
1.0
2.500 -7.174 0.000
2.500 7.174 0.000
0.000 0.000 3.838
Sc Br Cl
1 2 1
direct
0.000 0.000 0.000
0.129 0.871 0.500
0.871 0.129 0.500
0.500 0.500 0.000
```

---

5.
VASP calculation (PBE) on ScBr2Cl after structural relaxation.

Properties
- total energy (eV per atom) = -4.267
- energy relative to the elements, uncorrected (eV per atom) = -1.39
- space group = No. 160
- E above lowest polymorph (eV/atom) = 0.416

Cell and atoms, written as POSCAR:
```
ScBr2Cl
1.0
2.171 1.253 7.253
-2.171 1.253 7.253
0.000 -2.506 7.253
Sc Br Cl
1 2 1
direct
0.000 0.000 0.000
0.248 0.248 0.248
0.419 0.419 0.419
0.667 0.667 0.667
```

---

6.
VASP calculation (PBE) on ScBr2Cl after structural relaxation.

Properties
- total energy (eV per atom) = -4.497
- energy relative to the elements, uncorrected (eV per atom) = -1.62
- space group = No. 122
- E above lowest polymorph (eV/atom) = 0.186

Cell and atoms, written as POSCAR:
```
ScBr2Cl
1.0
-4.895 4.895 2.510
4.895 -4.895 2.510
4.895 4.895 -2.510
Sc Br Cl
2 4 2
direct
0.000 0.000 0.000
0.750 0.250 0.500
0.375 0.025 0.150
0.775 0.625 0.650
0.875 0.225 0.850
0.975 0.125 0.350
0.250 0.750 0.500
0.500 0.500 0.000
```